BaPr2PaN4 | PBE | relaxed

Raw total energy, eV/atom: -7.935
ρ, g cm⁻³: 8.02

Lattice parameters (Å, degrees): 7.4731 7.4731 7.3538 119.47 119.47 91.05
Fractional coordinates of all 16 atoms:
N1 0.7400 0.7600 0.9863
N2 0.2600 0.2400 0.0137
N3 0.2282 0.8147 0.0214
N4 0.7719 0.1853 0.9786
N5 0.2600 0.2401 0.4863
N6 0.7400 0.7600 0.5137
N7 0.3147 0.7281 0.5214
N8 0.6853 0.2719 0.4786
Pr1 0.0000 0.0000 0.5000
Pr2 0.5000 0.5000 0.0000
Pr3 0.5000 0.0000 0.5000
Pr4 0.5000 0.0000 0.0000
Ba1 0.0000 0.5000 0.0000
Ba2 0.0000 0.5000 0.5000
Pa1 0.5000 0.5000 0.5000
Pa2 0.0000 0.0000 0.0000

---

Ba2PrPaN4 | PBE | relaxed

Raw total energy, eV/atom: -7.517
ρ, g cm⁻³: 7.52

Lattice parameters (Å, degrees): 3.7510 6.4349 6.7907 108.74 90.00 90.00
Fractional coordinates of all 8 atoms:
N1 0.0000 0.7658 0.1900
N2 0.5000 0.7867 0.8081
N3 0.0000 0.2342 0.8101
N4 0.5000 0.2133 0.1919
Ba1 0.5000 0.0000 0.5000
Ba2 0.0000 0.5000 0.5000
Pa1 0.0000 0.0000 0.0000
Pr1 0.5000 0.5000 0.0000

---

BaPr3Pa4N12 | PBE | relaxed

Raw total energy, eV/atom: -8.813
ρ, g cm⁻³: 8.45

Lattice parameters (Å, degrees): 7.4983 7.4983 7.4983 109.47 109.47 109.47
Fractional coordinates of all 20 atoms:
N1 0.9144 0.7035 0.2108
N2 0.7035 0.2108 0.9144
N3 0.2108 0.9144 0.7035
N4 0.2108 0.5073 0.2965
N5 0.5073 0.2965 0.2108
N6 0.2965 0.7892 0.0856
N7 0.0856 0.2965 0.7892
N8 0.7892 0.4927 0.7035
N9 0.2965 0.2108 0.5073
N10 0.7035 0.7892 0.4927
N11 0.4927 0.7035 0.7892
N12 0.7892 0.0856 0.2965
Ba1 0.0000 0.0000 0.0000
Pa1 0.5000 0.5000 0.5000
Pa2 0.5000 0.0000 0.0000
Pa3 0.0000 0.0000 0.5000
Pa4 0.0000 0.5000 0.0000
Pr1 0.5000 0.5000 0.0000
Pr2 0.5000 0.0000 0.5000
Pr3 0.0000 0.5000 0.5000

---

BaPrPaN3 | PBE | relaxed

Raw total energy, eV/atom: -7.969
ρ, g cm⁻³: 6.88

Lattice parameters (Å, degrees): 3.5633 7.5011 9.9633 89.08 90.00 90.00
Fractional coordinates of all 12 atoms:
N1 0.2500 0.8869 0.5985
N2 0.2500 0.2279 0.8172
N3 0.7500 0.1131 0.4015
N4 0.7500 0.7721 0.1828
N5 0.7500 0.4112 0.0898
N6 0.2500 0.5888 0.9102
Pr1 0.2500 0.1975 0.5407
Pr2 0.7500 0.8025 0.4593
Ba1 0.7500 0.8895 0.8135
Ba2 0.2500 0.1105 0.1865
Pa1 0.2500 0.6030 0.1341
Pa2 0.7500 0.3970 0.8659

---

Ba4PrPa3N8 | PBE | relaxed

Raw total energy, eV/atom: -7.943
ρ, g cm⁻³: 8.21

Lattice parameters (Å, degrees): 7.3510 7.7311 7.3513 118.39 120.00 90.00
Fractional coordinates of all 16 atoms:
N1 0.2388 0.6764 0.4775
N2 0.7612 0.3236 0.5225
N3 0.2745 0.3239 0.5490
N4 0.3012 0.3236 0.0623
N5 0.7255 0.6761 0.4510
N6 0.6988 0.6764 0.9377
N7 0.7611 0.3236 0.0623
N8 0.2389 0.6764 0.9377
Pa1 0.5000 0.5000 0.5000
Pa2 0.5000 0.5000 0.0000
Pa3 0.0000 0.5000 0.5000
Ba1 0.0000 0.0000 0.0000
Ba2 0.5000 0.0000 0.0000
Ba3 0.5000 0.0000 0.5000
Ba4 0.0000 0.0000 0.5000
Pr1 0.0000 0.5000 0.0000

---

BaPr3Pa2N6 | PBE | relaxed

Raw total energy, eV/atom: -8.417
ρ, g cm⁻³: 8.63

Lattice parameters (Å, degrees): 3.6481 7.3784 8.2887 101.64 102.71 90.00
Fractional coordinates of all 12 atoms:
Pr1 0.1705 0.8413 0.3410
Pr2 0.8295 0.1587 0.6590
Pr3 0.5000 0.5000 0.0000
N1 0.0331 0.2947 0.0663
N2 0.6766 0.1254 0.3532
N3 0.9669 0.7053 0.9337
N4 0.6768 0.5654 0.3535
N5 0.3232 0.4346 0.6465
N6 0.3234 0.8746 0.6468
Pa1 0.8302 0.6626 0.6605
Pa2 0.1698 0.3374 0.3395
Ba1 0.5000 0.0000 0.0000

---

Ba3PuPa3N8 | PBE | relaxed

Raw total energy, eV/atom: -8.897
ρ, g cm⁻³: 8.38

Lattice parameters (Å, degrees): 7.2093 7.2103 7.6615 118.08 90.00 120.00
Fractional coordinates of all 15 atoms:
N1 0.7791 0.5581 0.3396
N2 0.2209 0.4419 0.6604
N3 0.7185 0.9395 0.6605
N4 0.2733 0.5467 0.3201
N5 0.7791 0.0605 0.3396
N6 0.7267 0.4533 0.6799
N7 0.2209 0.9395 0.6604
N8 0.2815 0.0605 0.3395
Ba1 0.0000 0.5000 0.0000
Ba2 0.0000 0.0000 0.0000
Ba3 0.5000 0.5000 0.0000
Pu1 0.0000 0.0000 0.5000
Pa1 0.0000 0.5000 0.5000
Pa2 0.5000 0.0000 0.5000
Pa3 0.5000 0.5000 0.5000

---

Ba3PuPa2N6 | PBE | relaxed

Raw total energy, eV/atom: -8.591
ρ, g cm⁻³: 9.03

Lattice parameters (Å, degrees): 3.6339 7.6513 8.5239 106.84 102.31 90.00
Fractional coordinates of all 12 atoms:
Ba1 0.8363 0.1654 0.6726
Ba2 0.5000 0.5000 0.0000
Ba3 0.1637 0.8346 0.3274
N1 0.3438 0.8662 0.6877
N2 0.9791 0.7910 0.9582
N3 0.6841 0.5368 0.3683
N4 0.0209 0.2090 0.0418
N5 0.3159 0.4632 0.6317
N6 0.6562 0.1338 0.3123
Pa1 0.8335 0.6701 0.6671
Pa2 0.1665 0.3299 0.3329
Pu1 0.5000 0.0000 0.0000

---

BaPa3Re4N12 | PBE | relaxed

Raw total energy, eV/atom: -9.498
ρ, g cm⁻³: 8.05

Lattice parameters (Å, degrees): 7.3241 7.3241 7.3241 102.53 102.53 102.53
Fractional coordinates of all 20 atoms:
Re1 0.5000 0.5000 0.5000
Re2 0.0590 0.5000 0.9410
Re3 0.5000 0.9410 0.0590
Re4 0.9410 0.0590 0.5000
Pa1 0.4404 0.0000 0.5596
Pa2 0.5596 0.4404 0.0000
Pa3 0.0000 0.5596 0.4404
N1 0.6597 0.5000 0.3403
N2 0.1011 0.8989 0.5000
N3 0.9792 0.2453 0.3758
N4 0.8989 0.5000 0.1011
N5 0.3403 0.6597 0.5000
N6 0.0208 0.6242 0.7547
N7 0.5000 0.1011 0.8989
N8 0.5000 0.3403 0.6597
N9 0.7547 0.0208 0.6242
N10 0.2453 0.3758 0.9792
N11 0.3758 0.9792 0.2453
N12 0.6242 0.7547 0.0208
Ba1 0.0000 0.0000 0.0000

---

BaPa2ReN5 | PBE | relaxed

Raw total energy, eV/atom: -9.379
ρ, g cm⁻³: 10.59

Lattice parameters (Å, degrees): 6.7767 6.7767 7.5584 116.63 116.63 90.00
Fractional coordinates of all 18 atoms:
N1 0.0102 0.5102 0.7420
N2 0.5102 0.7319 0.7420
N3 0.4898 0.2681 0.2580
N4 0.2681 0.7681 0.2580
N5 0.0000 0.0000 0.0000
N6 0.7681 0.9898 0.2580
N7 0.9898 0.4898 0.2580
N8 0.7319 0.2319 0.7420
N9 0.2319 0.0102 0.7420
N10 0.5000 0.5000 0.0000
Pa1 0.3148 0.8148 0.0000
Pa2 0.8148 0.6852 0.0000
Pa3 0.6852 0.1852 0.0000
Pa4 0.1852 0.3148 0.0000
Re1 0.2500 0.7500 0.5000
Re2 0.7500 0.2500 0.5000
Ba1 0.7500 0.7500 0.5000
Ba2 0.2500 0.2500 0.5000

---

Ba4Pa3RhN8 | PBE | relaxed

Raw total energy, eV/atom: -7.797
ρ, g cm⁻³: 8.43

Lattice parameters (Å, degrees): 7.0593 7.5163 7.3035 117.84 118.90 90.00
Fractional coordinates of all 16 atoms:
Pa1 0.5000 0.5000 0.0000
Pa2 0.5000 0.5000 0.5000
Pa3 0.0000 0.5000 0.5000
N1 0.2740 0.3195 0.5480
N2 0.7168 0.6742 0.9441
N3 0.2273 0.6742 0.9441
N4 0.2832 0.3258 0.0559
N5 0.7404 0.3032 0.4808
N6 0.7727 0.3258 0.0559
N7 0.7260 0.6805 0.4520
N8 0.2596 0.6968 0.5192
Ba1 0.0000 0.0000 0.0000
Ba2 0.0000 0.0000 0.5000
Ba3 0.5000 0.0000 0.0000
Ba4 0.5000 0.0000 0.5000
Rh1 0.0000 0.5000 0.0000

---

BaPaRhN3 | PBE | relaxed

Raw total energy, eV/atom: -8.082
ρ, g cm⁻³: 7.19

Lattice parameters (Å, degrees): 3.7628 7.5128 8.7025 105.49 90.00 90.00
Fractional coordinates of all 12 atoms:
N1 0.2500 0.8594 0.3896
N2 0.7500 0.1406 0.6104
N3 0.2500 0.5420 0.8810
N4 0.7500 0.4580 0.1190
N5 0.2500 0.1475 0.8731
N6 0.7500 0.8525 0.1269
Rh1 0.7500 0.9604 0.3876
Rh2 0.2500 0.0396 0.6124
Ba1 0.7500 0.8138 0.8023
Ba2 0.2500 0.1862 0.1977
Pa1 0.7500 0.3271 0.8584
Pa2 0.2500 0.6729 0.1416

---

BaPaRuN3 | PBE | relaxed

Raw total energy, eV/atom: -8.396
ρ, g cm⁻³: 7.78

Lattice parameters (Å, degrees): 3.5846 7.8053 8.0629 104.57 90.00 90.00
Fractional coordinates of all 12 atoms:
Ru1 0.2500 0.0904 0.5854
Ru2 0.7500 0.9096 0.4146
Pa1 0.2500 0.6590 0.1599
Pa2 0.7500 0.3410 0.8401
N1 0.7500 0.4588 0.1261
N2 0.7500 0.1825 0.5017
N3 0.7500 0.8406 0.1438
N4 0.2500 0.5412 0.8739
N5 0.2500 0.1594 0.8562
N6 0.2500 0.8175 0.4983
Ba1 0.7500 0.8111 0.7819
Ba2 0.2500 0.1889 0.2181

---

Ba3Pa2S2N4 | PBE | relaxed

Raw total energy, eV/atom: -7.509
ρ, g cm⁻³: 6.63

Lattice parameters (Å, degrees): 4.4532 4.4532 12.9371 99.91 99.91 90.00
Fractional coordinates of all 11 atoms:
S1 0.6967 0.6967 0.3934
S2 0.3033 0.3033 0.6066
Ba1 0.1736 0.1736 0.3472
Ba2 0.8264 0.8264 0.6528
Ba3 0.0000 0.0000 0.0000
N1 0.5778 0.0778 0.1557
N2 0.4222 0.9222 0.8443
N3 0.0778 0.5778 0.1557
N4 0.9222 0.4222 0.8443
Pa1 0.4113 0.4113 0.8227
Pa2 0.5887 0.5887 0.1773

---

BaScPa4N8 | PBE | relaxed

Raw total energy, eV/atom: -9.546
ρ, g cm⁻³: 8.32

Lattice parameters (Å, degrees): 7.1456 7.1456 6.8748 58.69 58.69 60.00
Fractional coordinates of all 14 atoms:
N1 0.2231 0.2231 0.7220
N2 0.7497 0.7497 0.2759
N3 0.8317 0.2231 0.7220
N4 0.2275 0.2275 0.3176
N5 0.2231 0.8317 0.7220
N6 0.2247 0.7497 0.2759
N7 0.7497 0.2247 0.2759
N8 0.7588 0.7588 0.7237
Pa1 0.0035 0.4926 0.5004
Pa2 0.4926 0.0035 0.5004
Pa3 0.6210 0.6210 0.1370
Pa4 0.0035 0.0035 0.5004
Ba1 0.3841 0.3841 0.8477
Sc1 0.0069 0.0069 0.9792

---

Ba4ScPa3N8 | PBE | relaxed

Raw total energy, eV/atom: -8.063
ρ, g cm⁻³: 8.07

Lattice parameters (Å, degrees): 7.1841 7.6619 7.1841 117.96 120.00 90.00
Fractional coordinates of all 16 atoms:
N1 0.7715 0.3261 0.0547
N2 0.2285 0.6739 0.4571
N3 0.2285 0.6739 0.9453
N4 0.2753 0.3259 0.5506
N5 0.7715 0.3261 0.5429
N6 0.2831 0.3261 0.0547
N7 0.7169 0.6739 0.9453
N8 0.7247 0.6741 0.4494
Pa1 0.0000 0.5000 0.5000
Pa2 0.5000 0.5000 0.5000
Pa3 0.5000 0.5000 0.0000
Ba1 0.5000 0.0000 0.5000
Ba2 0.5000 0.0000 0.0000
Ba3 0.0000 0.0000 0.0000
Ba4 0.0000 0.0000 0.5000
Sc1 0.0000 0.5000 0.0000

---

BaPa2SiN5 | PBE | relaxed

Raw total energy, eV/atom: -8.727
ρ, g cm⁻³: 9.13

Lattice parameters (Å, degrees): 5.6481 6.7012 6.7012 90.00 90.00 90.00
Fractional coordinates of all 18 atoms:
N1 0.7600 0.3672 0.1328
N2 0.2400 0.8672 0.3672
N3 0.7600 0.6328 0.8672
N4 0.2400 0.1328 0.6328
N5 0.5000 0.5000 0.5000
N6 0.2400 0.6328 0.8672
N7 0.7600 0.1328 0.6328
N8 0.5000 0.0000 0.0000
N9 0.2400 0.3672 0.1328
N10 0.7600 0.8672 0.3672
Pa1 0.5000 0.8176 0.6824
Pa2 0.5000 0.1824 0.3176
Pa3 0.5000 0.3176 0.8176
Pa4 0.5000 0.6824 0.1824
Ba1 0.0000 0.5000 0.5000
Ba2 0.0000 0.0000 0.0000
Si1 0.0000 0.0000 0.5000
Si2 0.0000 0.5000 0.0000

---

BaPa3Si4N12 | PBE | relaxed

Raw total energy, eV/atom: -8.397
ρ, g cm⁻³: 5.85

Lattice parameters (Å, degrees): 7.0893 7.0893 7.0893 104.39 104.39 104.39
Fractional coordinates of all 20 atoms:
Si1 0.9486 0.0514 0.5000
Si2 0.5000 0.5000 0.5000
Si3 0.5000 0.9486 0.0514
Si4 0.0514 0.5000 0.9486
N1 0.0991 0.9009 0.5000
N2 0.7775 0.0246 0.6240
N3 0.5000 0.0991 0.9009
N4 0.6503 0.5000 0.3497
N5 0.3497 0.6503 0.5000
N6 0.2225 0.3760 0.9754
N7 0.9009 0.5000 0.0991
N8 0.5000 0.3497 0.6503
N9 0.9754 0.2225 0.3760
N10 0.0246 0.6240 0.7775
N11 0.3760 0.9754 0.2225
N12 0.6240 0.7775 0.0246
Ba1 0.0000 0.0000 0.0000
Pa1 0.4512 0.0000 0.5488
Pa2 0.0000 0.5488 0.4512
Pa3 0.5488 0.4512 0.0000